1.
LaCo2Os meta-GGA SCAN PBEsol geometry; formation enthalpy at 0 K = 0.043 eV/atom; final energy = -149.422 eV/f.u.; D(E_F) = 2.98 states/eV/cell; SG = R-3m
1.0
2.055 1.187 4.918
-2.055 1.187 4.918
0.000 -2.373 4.918
La Co Os
1 2 1
Direct
0.000 0.000 0.000
0.188 0.188 0.188
0.812 0.812 0.812
0.500 0.500 0.500

***

2.
Rb2BeF4 meta-GGA SCAN PBEsol geometry; final energy = -82.425 eV/f.u.; D(E_F) = 0.00 states/eV/cell; SG = Pna2_1; energy relative to the elements, uncorrected = -3.20 eV/atom
1.0
9.814 0.000 0.000
0.000 5.871 0.000
0.000 0.000 9.592
Rb Be F
8 4 16
Direct
0.004 0.213 0.000
0.223 0.662 0.841
0.277 0.162 0.341
0.496 0.713 0.500
0.504 0.287 0.000
0.723 0.838 0.841
0.777 0.338 0.341
0.996 0.787 0.500
0.165 0.618 0.210
0.335 0.118 0.710
0.665 0.882 0.210
0.835 0.382 0.710
0.042 0.457 0.261
0.114 0.842 0.141
0.248 0.171 0.843
0.250 0.469 0.105
0.250 0.969 0.605
0.252 0.671 0.343
0.386 0.342 0.641
0.458 0.957 0.761
0.542 0.043 0.261
0.614 0.658 0.141
0.748 0.329 0.843
0.750 0.031 0.105
0.750 0.531 0.605
0.752 0.829 0.343
0.886 0.158 0.641
0.958 0.543 0.761

***

3.
KFeBW2 meta-GGA SCAN PBEsol geometry; formation enthalpy at 0 K = 1.526 eV/atom; final energy = -165.632 eV/f.u.; D(E_F) = 4.82 states/eV/cell; SG = P4/mmm
1.0
4.330 0.000 0.000
0.000 4.330 0.000
0.000 0.000 4.070
K Fe B W
1 1 1 2
Direct
0.000 0.000 0.000
0.500 0.500 0.000
0.500 0.500 0.500
0.000 0.500 0.500
0.500 0.000 0.500

***

4.
Sb2PtSe meta-GGA SCAN PBEsol geometry; final energy = -163.120 eV/f.u.; D(E_F) = 3.24 states/eV/cell; SG = F-43m; energy relative to the elements, uncorrected = 0.42 eV/atom
1.0
0.000 3.472 3.472
3.472 0.000 3.472
3.472 3.472 0.000
Sb Pt Se
2 1 1
Direct
0.000 0.000 0.000
0.250 0.250 0.250
0.750 0.750 0.750
0.500 0.500 0.500

***

5.
Ge2OsSeI meta-GGA SCAN PBEsol geometry; final energy = -165.058 eV/f.u.; D(E_F) = 3.00 states/eV/cell; SG = P4/mmm; energy relative to the elements, uncorrected = 0.36 eV/atom
1.0
4.922 0.000 0.000
0.000 4.922 0.000
0.000 0.000 4.729
Ge Os Se I
2 1 1 1
Direct
0.000 0.500 0.000
0.500 0.000 0.000
0.000 0.000 0.000
0.000 0.000 0.500
0.500 0.500 0.500

***

6.
HfBiBN2 meta-GGA SCAN PBEsol geometry; final energy = -159.730 eV/f.u.; D(E_F) = 2.07 states/eV/cell; SG = P4/mmm; energy relative to the elements, uncorrected = 1.51 eV/atom
1.0
3.902 0.000 0.000
0.000 3.902 0.000
0.000 0.000 4.460
Hf Bi B N
1 1 1 2
Direct
0.000 0.000 0.000
0.500 0.500 0.000
0.000 0.000 0.500
0.000 0.500 0.500
0.500 0.000 0.500

***

7.
Al2PPt meta-GGA SCAN PBEsol geometry; formation enthalpy at 0 K = -0.422 eV/atom; final energy = -97.785 eV/f.u.; D(E_F) = 1.27 states/eV/cell; SG = Cm
1.0
4.712 -1.431 0.000
4.712 1.431 0.000
-1.111 0.000 4.388
Al P Pt
2 1 1
Direct
0.000 0.000 0.000
0.213 0.213 0.634
0.758 0.758 0.139
0.472 0.472 0.506

***

8.
TaAsSCl2 meta-GGA SCAN PBEsol geometry; final energy = -112.978 eV/f.u.; D(E_F) = 1.74 states/eV/cell; SG = P4/mmm; energy relative to the elements, uncorrected = -0.12 eV/atom
1.0
4.809 0.000 0.000
0.000 4.809 0.000
0.000 0.000 4.773
Ta As S Cl
1 1 1 2
Direct
0.000 0.000 0.000
0.500 0.500 0.500
0.000 0.000 0.500
0.000 0.500 0.000
0.500 0.000 0.000

***

9.
AlReSe4 meta-GGA SCAN PBEsol geometry; final energy = -150.201 eV/f.u.; D(E_F) = 4.83 states/eV/cell; SG = F-43m; energy relative to the elements, uncorrected = 1.49 eV/atom
1.0
0.000 3.828 3.828
3.828 0.000 3.828
3.828 3.828 0.000
Al Re Se
1 1 4
Direct
0.000 0.000 0.000
0.750 0.750 0.750
0.375 0.375 0.375
0.375 0.375 0.874
0.375 0.874 0.375
0.874 0.375 0.375

***

10.
KTmP2O7 meta-GGA SCAN PBEsol geometry; final energy = -157.424 eV/f.u.; D(E_F) = 0.00 states/eV/cell; SG = P2_1/c; energy relative to the elements, uncorrected = -2.99 eV/atom
1.0
7.584 0.000 0.000
0.000 10.823 0.000
-2.584 0.000 8.190
K Tm P O
4 4 8 28
Direct
0.170 0.180 0.071
0.170 0.320 0.571
0.830 0.680 0.429
0.830 0.820 0.929
0.233 0.597 0.254
0.233 0.903 0.754
0.767 0.097 0.246
0.767 0.403 0.746
0.130 0.601 0.814
0.130 0.899 0.314
0.444 0.642 0.694
0.444 0.858 0.194
0.556 0.142 0.806
0.556 0.358 0.306
0.870 0.101 0.686
0.870 0.399 0.186
0.010 0.001 0.212
0.010 0.499 0.712
0.071 0.729 0.739
0.071 0.771 0.239
0.135 0.597 0.992
0.135 0.903 0.492
0.330 0.615 0.519
0.330 0.885 0.019
0.338 0.574 0.810
0.338 0.926 0.310
0.366 0.083 0.760
0.366 0.417 0.260
0.459 0.721 0.240
0.459 0.779 0.740
0.541 0.221 0.260
0.541 0.279 0.760
0.634 0.583 0.740
0.634 0.917 0.240
0.662 0.074 0.690
0.662 0.426 0.190
0.670 0.115 0.981
0.670 0.385 0.481
0.865 0.097 0.508
0.865 0.403 0.008
0.929 0.229 0.761
0.929 0.271 0.261
0.990 0.501 0.288
0.990 0.999 0.788

***

11.
MgAsP3 meta-GGA SCAN PBEsol geometry; formation enthalpy at 0 K = 0.816 eV/atom; final energy = -52.282 eV/f.u.; D(E_F) = 4.00 states/eV/cell; SG = Pm-3m
1.0
4.700 0.000 0.000
0.000 4.700 0.000
0.000 0.000 4.700
Mg As P
1 1 3
Direct
0.000 0.000 0.000
0.500 0.500 0.500
0.000 0.500 0.500
0.500 0.000 0.500
0.500 0.500 0.000

***

12.
SrSn3Br meta-GGA SCAN PBEsol geometry; final energy = -148.468 eV/f.u.; D(E_F) = 4.41 states/eV/cell; SG = Pm-3m; energy relative to the elements, uncorrected = 0.21 eV/atom
1.0
5.538 0.000 0.000
0.000 5.538 0.000
0.000 0.000 5.538
Sr Sn Br
1 3 1
Direct
0.000 0.000 0.000
0.000 0.500 0.500
0.500 0.000 0.500
0.500 0.500 0.000
0.500 0.500 0.500

***

13.
Cu3TeCl meta-GGA SCAN PBEsol geometry; final energy = -89.544 eV/f.u.; D(E_F) = 0.00 states/eV/cell; SG = Pm-3m; energy relative to the elements, uncorrected = 0.26 eV/atom
1.0
4.814 0.000 0.000
0.000 4.814 0.000
0.000 0.000 4.814
Cu Te Cl
3 1 1
Direct
0.000 0.000 0.500
0.000 0.500 0.000
0.500 0.000 0.000
0.000 0.000 0.000
0.500 0.500 0.500

***

14.
Zr2ZnSb2 meta-GGA SCAN PBEsol geometry; final energy = -149.715 eV/f.u.; D(E_F) = 2.56 states/eV/cell; SG = I4/mmm; energy relative to the elements, uncorrected = -0.06 eV/atom
1.0
-2.353 2.353 5.957
2.353 -2.353 5.957
2.353 2.353 -5.957
Zr Zn Sb
2 1 2
Direct
0.250 0.750 0.500
0.750 0.250 0.500
0.000 0.000 0.000
0.383 0.383 0.000
0.617 0.617 0.000

***

15.
Hf2Ga2Pd meta-GGA SCAN PBEsol geometry; formation enthalpy at 0 K = -0.737 eV/atom; final energy = -194.499 eV/f.u.; D(E_F) = 3.91 states/eV/cell; SG = P4/mbm
1.0
6.464 0.000 0.000
0.000 6.464 0.000
0.000 0.000 4.085
Hf Ga Pd
4 4 2
Direct
0.170 0.330 0.000
0.330 0.830 0.000
0.670 0.170 0.000
0.830 0.670 0.000
0.136 0.636 0.500
0.364 0.136 0.500
0.636 0.864 0.500
0.864 0.364 0.500
0.000 0.000 0.500
0.500 0.500 0.500

***

16.
TmAgSn meta-GGA SCAN PBEsol geometry; formation enthalpy at 0 K = -0.662 eV/atom; final energy = -121.105 eV/f.u.; D(E_F) = 0.61 states/eV/cell; SG = P6_3mc
1.0
4.627 0.000 0.000
-2.313 4.007 0.000
0.000 0.000 7.185
Tm Ag Sn
2 2 2
Direct
0.000 0.000 0.000
0.000 0.000 0.500
0.333 0.667 0.184
0.667 0.333 0.684
0.333 0.667 0.778
0.667 0.333 0.278

***

17.
CdTc2Ir meta-GGA SCAN PBEsol geometry; formation enthalpy at 0 K = 0.303 eV/atom; final energy = -170.420 eV/f.u.; D(E_F) = 3.51 states/eV/cell; SG = Cmm2
1.0
1.425 -2.308 0.000
1.425 2.308 0.000
0.000 0.000 9.289
Cd Tc Ir
1 2 1
Direct
0.000 0.000 0.000
0.000 0.000 0.504
0.500 0.500 0.731
0.500 0.500 0.262

***

18.
NbB2Cl meta-GGA SCAN PBEsol geometry; final energy = -49.154 eV/f.u.; D(E_F) = 2.21 states/eV/cell; SG = Fm-3m; energy relative to the elements, uncorrected = 1.70 eV/atom
1.0
0.000 2.898 2.898
2.898 0.000 2.898
2.898 2.898 0.000
Nb B Cl
1 2 1
Direct
0.000 0.000 0.000
0.250 0.250 0.250
0.750 0.750 0.750
0.500 0.500 0.500

***

19.
Ba2La2MnW2O12 meta-GGA SCAN PBEsol geometry; final energy = -454.220 eV/f.u.; SG = R-3m; energy relative to the elements, uncorrected = -2.97 eV/atom
1.0
2.836 1.638 9.067
-2.836 1.638 9.067
0.000 -3.275 9.067
Ba La Mn W O
2 2 1 2 12
Direct
0.133 0.133 0.133
0.867 0.867 0.867
0.294 0.294 0.294
0.706 0.706 0.706
0.000 0.000 0.000
0.420 0.420 0.420
0.580 0.580 0.580
0.115 0.619 0.619
0.218 0.218 0.678
0.218 0.678 0.218
0.322 0.782 0.782
0.381 0.381 0.885
0.381 0.885 0.381
0.619 0.115 0.619
0.619 0.619 0.115
0.678 0.218 0.218
0.782 0.322 0.782
0.782 0.782 0.322
0.885 0.381 0.381

***

20.
K2ZrAl meta-GGA SCAN PBEsol geometry; formation enthalpy at 0 K = 0.628 eV/atom; final energy = -52.595 eV/f.u.; D(E_F) = 1.97 states/eV/cell; SG = P4/mmm
1.0
4.294 0.000 0.000
0.000 4.294 0.000
0.000 0.000 6.145
K Zr Al
2 1 1
Direct
0.000 0.500 0.000
0.500 0.000 0.000
0.000 0.000 0.500
0.500 0.500 0.500